Arrangement P

Here is Sn2HgPd2 after structural relaxation from Alexandria. Energies are from PBE-GGA.

The structure in POSCAR format:
```
Sn2HgPd2
1.0
-5.847 4.847 1.856
-3.599 -1.773 -6.710
-1.623 -2.549 1.544
Sn Pd Hg
4 4 2
Cartesian
-7.691 0.425 -3.653
-4.108 -1.674 -3.352
-6.962 2.199 0.042
-3.379 0.100 0.342
-7.343 3.065 -2.659
-5.245 0.234 -5.126
-4.202 2.840 0.271
-2.104 0.009 -2.196
-4.723 1.537 -2.427
0.000 0.000 0.000
```

Output
density = 10.42 g/cm³
crystal system = tetragonal
Fermi-level density of states = 4.583 states/eV/cell

---

Arrangement Q

Here is Sn2HgPd2 after structural relaxation from Alexandria. Energies are from PBE-GGA.

The structure in POSCAR format:
```
Sn2HgPd2
1.0
4.055 0.000 0.000
0.000 4.055 0.000
2.028 2.028 6.822
Pd Hg Sn
2 1 2
Cartesian
4.055 2.028 3.411
2.028 4.055 3.411
0.000 0.000 0.000
2.028 2.028 1.590
4.055 4.055 5.232
```

Output
density = 9.63 g/cm³
crystal system = tetragonal
Fermi-level density of states = 1.601 states/eV/cell

---

Name the most stable of them. arrangement P.

---

Arrangement P

Here is Sr3Hg2Pd4 after structural relaxation from Alexandria. Energies are from PBE-GGA.

The structure in POSCAR format:
```
Sr3Hg2Pd4
1.0
-0.587 -0.626 -4.609
-2.826 -3.970 3.283
-6.493 6.383 -0.039
Pd Sr Hg
4 3 2
Cartesian
-7.620 3.560 0.487
-2.286 -1.773 -1.853
-5.292 -1.523 -1.504
-4.614 3.310 0.138
-6.365 0.733 0.711
-3.541 1.054 -2.077
0.000 0.000 0.000
-3.462 -1.211 0.605
-6.445 2.998 -1.971
```

Output
density = 7.95 g/cm³
crystal system = monoclinic
Fermi-level density of states = 4.785 states/eV/cell

---

Arrangement Q

Here is Sr3Hg2Pd4 after structural relaxation from Alexandria. Energies are from PBE-GGA.

The structure in POSCAR format:
```
Sr3Hg2Pd4
1.0
4.599 0.000 0.000
-2.299 5.815 -0.357
0.000 -2.845 8.713
Pd Sr Hg
4 3 2
Cartesian
0.000 0.539 8.002
0.000 -0.254 3.670
2.299 2.432 0.354
2.299 3.224 4.685
0.000 3.381 2.394
0.000 0.000 0.000
2.299 -0.410 5.961
0.000 2.018 5.675
2.299 0.952 2.680
```

Output
density = 7.93 g/cm³
crystal system = monoclinic
Fermi-level density of states = 3.089 states/eV/cell

---

Name the most stable of them. arrangement P.

---

Arrangement P

Here is SrHg2Pd2 after structural relaxation from Alexandria. Energies are from PBE-GGA.

The structure in POSCAR format:
```
SrHg2Pd2
1.0
4.465 0.000 -0.962
-0.207 4.460 -0.962
0.250 0.262 12.007
Pd Hg Sr
4 4 2
Cartesian
4.188 4.387 8.601
3.422 1.246 5.042
1.086 3.476 5.042
0.319 0.335 1.483
0.867 0.908 4.025
3.641 3.814 6.059
-0.104 2.230 -0.481
2.233 0.000 -0.481
1.754 1.837 8.143
2.754 2.885 1.941
```

Output
density = 9.65 g/cm³
crystal system = tetragonal
Fermi-level density of states = 2.987 states/eV/cell

---

Arrangement Q

Here is SrHg2Pd2 after structural relaxation from Alexandria. Energies are from PBE-GGA.

The structure in POSCAR format:
```
SrHg2Pd2
1.0
-2.552 1.725 -3.236
-3.557 -0.207 2.695
-1.855 6.304 1.740
Hg Pd Sr
2 2 1
Cartesian
-3.731 4.394 -0.883
-4.233 3.428 2.082
-5.170 5.859 1.033
-2.794 1.962 0.166
0.000 0.000 0.000
```

Output
density = 9.70 g/cm³
crystal system = tetragonal
Fermi-level density of states = 1.491 states/eV/cell

---

Arrangement R

Here is SrHg2Pd2 after structural relaxation from Alexandria. Energies are from PBE-GGA.

The structure in POSCAR format:
```
SrHg2Pd2
1.0
-1.615 -4.462 -3.400
4.869 0.263 3.208
-6.000 -1.562 7.006
Pd Hg Sr
4 4 2
Cartesian
-0.789 -3.395 6.406
0.596 -3.791 1.257
-1.958 -2.366 0.408
-3.342 -1.970 5.558
-3.457 -1.931 2.719
0.711 -3.830 4.096
-5.546 -3.699 6.033
2.800 -2.062 0.781
0.125 -0.849 2.531
-2.872 -4.912 4.283
```

Output
density = 9.41 g/cm³
crystal system = monoclinic
Fermi-level density of states = 4.461 states/eV/cell

---

Arrangement S

Here is SrHg2Pd2 after structural relaxation from Alexandria. Energies are from PBE-GGA.

The structure in POSCAR format:
```
SrHg2Pd2
1.0
-1.993 -4.283 6.108
-2.812 -5.425 -4.722
3.282 -1.635 -0.076
Hg Pd Sr
4 4 2
Cartesian
0.513 -3.142 1.281
-2.036 -8.201 0.030
-0.988 -6.258 3.487
-0.535 -5.085 -2.177
-1.298 -2.562 -0.932
-1.631 -3.423 3.237
-3.174 -6.285 -1.851
-3.507 -7.146 2.318
-2.402 -4.854 0.693
0.000 0.000 0.000
```

Output
density = 10.65 g/cm³
crystal system = tetragonal
Fermi-level density of states = 2.885 states/eV/cell

---

Name the most stable of them. arrangement P.

---

Arrangement P

Here is Sr4Hg2Pd after structural relaxation from Alexandria. Energies are from PBE-GGA.

The structure in POSCAR format:
```
Sr4Hg2Pd
1.0
5.820 0.000 0.000
0.000 5.820 0.000
2.910 2.910 8.260
Sr Hg Pd
4 2 1
Cartesian
0.000 2.910 0.000
5.820 5.820 3.066
2.910 0.000 0.000
2.910 2.910 5.195
5.820 5.820 6.381
2.910 2.910 1.880
0.000 0.000 0.000
```

Output
density = 5.09 g/cm³
crystal system = tetragonal
Fermi-level density of states = 6.486 states/eV/cell

---

Arrangement Q

Here is Sr4Hg2Pd after structural relaxation from Alexandria. Energies are from PBE-GGA.

The structure in POSCAR format:
```
Sr4Hg2Pd
1.0
4.704 0.000 -1.328
-0.427 6.614 -1.513
-0.177 -0.326 8.365
Hg Pd Sr
2 1 4
Cartesian
0.868 2.096 3.075
3.231 4.192 2.449
0.000 0.000 0.000
1.505 4.555 5.328
2.595 1.733 0.195
3.792 1.020 4.435
0.308 5.268 1.089
```

Output
density = 5.56 g/cm³
crystal system = monoclinic
Fermi-level density of states = 3.647 states/eV/cell

---

Name the most stable of them. arrangement Q.

---

Arrangement P

Here is SrHg4Pd after structural relaxation from Alexandria. Energies are from PBE-GGA.

The structure in POSCAR format:
```
SrHg4Pd
1.0
5.929 0.000 0.000
2.964 5.134 0.000
2.964 1.711 4.841
Hg Pd Sr
4 1 1
Cartesian
4.456 4.273 3.022
5.929 1.723 3.022
5.929 3.423 0.617
7.401 4.273 3.022
2.964 1.711 1.210
0.000 0.000 0.000
```

Output
density = 11.23 g/cm³
crystal system = cubic
Fermi-level density of states = 1.840 states/eV/cell

---

Arrangement Q

Here is SrHg4Pd after structural relaxation from Alexandria. Energies are from PBE-GGA.

The structure in POSCAR format:
```
SrHg4Pd
1.0
4.527 0.000 -1.174
0.000 7.653 0.000
-0.119 0.000 8.853
Pd Hg Sr
2 8 2
Cartesian
0.980 5.740 3.780
3.427 1.913 3.899
0.272 5.740 1.048
2.263 0.000 -0.587
1.373 3.428 5.291
3.035 4.225 2.387
3.035 7.255 2.387
4.136 1.913 6.630
2.263 3.827 -0.587
1.373 0.399 5.291
3.843 5.740 5.502
0.564 1.913 2.176
```

Output
density = 10.83 g/cm³
crystal system = orthorhombic
Fermi-level density of states = 4.902 states/eV/cell

---

Name the most stable of them. arrangement Q.

---

Arrangement P

Here is Sr2Hg5Pd4 after structural relaxation from Alexandria. Energies are from PBE-GGA.

The structure in POSCAR format:
```
Sr2Hg5Pd4
1.0
-1.975 5.468 1.469
-2.808 0.915 5.057
6.724 4.453 4.706
Hg Pd Sr
5 4 2
Cartesian
-0.987 2.734 0.734
0.477 6.785 5.983
1.464 4.051 5.248
-1.404 0.458 2.528
-2.392 3.192 3.263
-1.248 4.659 5.459
1.519 8.230 8.127
3.189 6.177 5.773
0.422 2.606 3.105
0.206 5.954 2.592
4.543 3.967 3.583
```

Output
density = 9.98 g/cm³
crystal system = orthorhombic
Fermi-level density of states = 3.404 states/eV/cell

---

Arrangement Q

Here is Sr2Hg5Pd4 after structural relaxation from Alexandria. Energies are from PBE-GGA.

The structure in POSCAR format:
```
Sr2Hg5Pd4
1.0
-0.351 -5.755 -1.255
5.919 -2.691 -3.186
2.270 -4.329 5.348
Sr Hg Pd
2 5 4
Cartesian
5.905 -6.682 1.248
1.934 -6.093 -0.341
5.077 -4.487 -1.741
2.935 -5.448 3.267
4.095 -3.510 1.081
2.762 -8.288 2.648
4.904 -7.327 -2.360
6.442 -9.294 -0.794
5.202 -9.851 2.107
2.636 -2.924 -1.200
1.397 -3.481 1.701
```

Output
density = 10.32 g/cm³
crystal system = orthorhombic
Fermi-level density of states = 4.637 states/eV/cell

---

Name the most stable of them. arrangement Q.

---

Arrangement P

Here is SrHg2Pd3 after structural relaxation from Alexandria. Energies are from PBE-GGA.

The structure in POSCAR format:
```
SrHg2Pd3
1.0
-2.315 -1.636 3.421
1.638 -5.385 -1.467
3.240 3.123 3.686
Pd Hg Sr
3 2 1
Cartesian
0.464 0.737 3.552
-0.336 -3.518 0.975
1.284 -1.956 2.818
2.708 0.280 1.966
2.174 -2.556 0.249
0.002 -0.007 -0.002
```

Output
density = 10.31 g/cm³
crystal system = hexagonal
Fermi-level density of states = 2.099 states/eV/cell

---

Arrangement Q

Here is SrHg2Pd3 after structural relaxation from Alexandria. Energies are from PBE-GGA.

The structure in POSCAR format:
```
SrHg2Pd3
1.0
4.737 0.000 0.000
-2.369 4.103 0.000
0.000 0.000 12.941
Hg Sr Pd
4 2 6
Cartesian
2.369 1.368 5.353
2.369 1.368 1.118
0.000 2.735 11.824
0.000 2.735 7.588
0.000 0.000 3.235
0.000 0.000 9.706
0.000 2.735 4.785
2.369 1.368 8.156
2.369 1.368 11.256
0.000 0.000 0.000
0.000 2.735 1.686
0.000 0.000 6.471
```

Output
density = 10.67 g/cm³
crystal system = hexagonal
Fermi-level density of states = 6.725 states/eV/cell

---

Name the most stable of them. arrangement P.

---

Arrangement P

Here is Sr4HgPd after structural relaxation from Alexandria. Energies are from PBE-GGA.

The structure in POSCAR format:
```
Sr4HgPd
1.0
-4.920 -2.385 0.323
1.709 -3.980 -3.356
2.392 -4.118 6.087
Pd Sr Hg
1 4 1
Cartesian
2.889 -6.023 -0.313
-0.149 -6.218 -1.623
1.008 -8.214 1.318
2.613 -5.031 2.835
1.457 -3.036 -0.107
0.771 -7.285 4.570
```

Output
density = 4.71 g/cm³
crystal system = monoclinic
Fermi-level density of states = 3.853 states/eV/cell

---

Arrangement Q

Here is Sr4HgPd after structural relaxation from Alexandria. Energies are from PBE-GGA.

The structure in POSCAR format:
```
Sr4HgPd
1.0
7.179 0.043 -0.900
-1.660 7.411 -3.434
-0.144 0.320 8.327
Sr Hg Pd
8 2 2
Cartesian
2.136 5.449 -2.336
3.239 2.325 6.329
-1.350 6.973 -0.967
6.725 0.800 4.961
1.701 5.991 2.160
-0.146 2.838 0.497
3.674 1.782 1.834
5.521 4.936 3.497
4.285 4.820 0.242
1.090 2.954 3.751
0.136 7.412 -3.643
5.238 0.362 7.636
```

Output
density = 4.84 g/cm³
crystal system = monoclinic
Fermi-level density of states = 9.171 states/eV/cell

---

Name the most stable of them. arrangement Q.

---

Arrangement P

Here is SrHg3Pd3 after structural relaxation from Alexandria. Energies are from PBE-GGA.

The structure in POSCAR format:
```
SrHg3Pd3
1.0
4.477 0.000 0.000
0.000 7.864 -4.489
0.000 -0.038 9.064
Pd Hg Sr
6 6 2
Cartesian
3.358 3.513 -1.558
1.119 4.313 6.133
3.358 7.458 -0.661
1.119 3.108 2.273
3.358 4.717 2.302
1.119 0.368 5.236
1.119 1.789 7.650
3.358 7.518 2.282
3.358 6.037 -3.075
1.119 5.687 3.692
1.119 0.308 2.293
3.358 2.139 0.883
1.119 5.227 0.028
3.358 2.599 4.548
```

Output
density = 10.52 g/cm³
crystal system = monoclinic
Fermi-level density of states = 7.073 states/eV/cell

---

Arrangement Q

Here is SrHg3Pd3 after structural relaxation from Alexandria. Energies are from PBE-GGA.

The structure in POSCAR format:
```
SrHg3Pd3
1.0
-2.333 5.619 -5.820
-8.143 0.932 -1.926
-3.973 6.000 1.296
Hg Pd Sr
6 6 2
Cartesian
-4.449 5.560 -3.182
-6.397 4.956 -0.819
-8.984 4.176 -2.381
-5.465 8.375 -4.069
-8.052 7.595 -5.631
-10.000 6.991 -3.269
-9.860 6.100 -0.625
-6.603 2.716 -2.399
-7.847 9.835 -4.051
-4.589 6.451 -5.826
-4.483 6.991 -0.835
-9.966 5.560 -5.615
-3.499 2.239 -2.526
-10.950 10.312 -3.925
```

Output
density = 9.99 g/cm³
crystal system = trigonal
Fermi-level density of states = 6.151 states/eV/cell

---

Name the most stable of them. arrangement P.

---

Arrangement P

Here is Sr3HgPd after structural relaxation from Alexandria. Energies are from PBE-GGA.

The structure in POSCAR format:
```
Sr3HgPd
1.0
-5.461 2.176 -0.432
-0.303 -1.868 -5.583
-2.198 -5.150 1.842
Sr Hg Pd
3 1 1
Cartesian
-1.099 -2.575 0.921
-2.731 1.088 -0.216
-0.151 -0.934 -2.791
-3.981 -2.421 -2.086
0.000 0.000 0.000
```

Output
density = 4.62 g/cm³
crystal system = cubic
Fermi-level density of states = 2.519 states/eV/cell

---

Arrangement Q

Here is Sr3HgPd after structural relaxation from Alexandria. Energies are from PBE-GGA.

The structure in POSCAR format:
```
Sr3HgPd
1.0
8.326 0.000 0.000
0.000 8.440 -3.190
0.000 0.638 9.961
Sr Hg Pd
12 4 4
Cartesian
2.564 4.273 -0.174
4.079 6.436 3.463
1.309 5.767 6.081
7.017 3.311 0.691
2.854 1.547 7.676
5.472 7.531 -0.904
4.247 2.642 3.308
0.084 2.216 5.058
5.762 4.804 6.945
8.243 6.862 1.713
1.599 8.493 -1.769
6.727 0.585 8.540
6.849 4.796 3.821
2.685 8.501 1.356
5.641 0.577 5.415
1.478 4.281 2.951
0.269 3.441 8.021
4.432 1.417 0.345
8.057 5.637 -1.250
3.894 7.661 6.426
```

Output
density = 5.28 g/cm³
crystal system = monoclinic
Fermi-level density of states = 14.394 states/eV/cell

---

Arrangement R

Here is Sr3HgPd after structural relaxation from Alexandria. Energies are from PBE-GGA.

The structure in POSCAR format:
```
Sr3HgPd
1.0
4.428 -0.001 -0.001
0.002 9.516 0.013
0.003 3.320 8.923
Pd Hg Sr
2 2 6
Cartesian
1.612 4.326 6.662
1.608 7.424 2.207
1.611 9.083 6.668
3.823 2.664 2.203
3.826 2.329 6.098
1.610 4.803 3.690
3.826 6.321 7.225
3.821 6.199 0.532
3.822 8.647 3.881
1.609 0.528 0.712
```

Output
density = 5.04 g/cm³
crystal system = orthorhombic
Fermi-level density of states = 5.754 states/eV/cell

---

Name the most stable of them. arrangement Q.